Material: LaWAu3
Method: DFT, PBE
State: optimized geometry

Structure (POSCAR):
```
LaWAu3
1.0
5.076 0.000 0.000
0.000 5.076 0.000
0.000 0.000 5.076
Au La W
3 1 1
Cartesian
0.000 0.000 2.538 Au
2.538 0.000 0.000 Au
0.000 2.538 0.000 Au
2.538 2.538 2.538 La
0.000 0.000 0.000 W
```


Material: LaW2Au
Method: DFT, PBE
State: optimized geometry

Structure (POSCAR):
```
LaW2Au
1.0
5.302 0.000 0.000
0.000 3.061 -0.007
0.000 0.284 5.111
La Au W
1 1 2
Cartesian
2.651 2.508 3.828 La
2.651 0.836 1.276 Au
0.000 0.661 5.084 W
0.000 1.295 2.579 W
```


Material: LaW3Au
Method: DFT, PBE
State: optimized geometry

Structure (POSCAR):
```
LaW3Au
1.0
-4.163 2.392 0.234
-0.719 -0.793 -4.686
-2.293 -4.094 1.045
Au W La
1 3 1
Cartesian
-3.588 -1.248 -1.704 Au
-0.360 -0.397 -2.343 W
-1.147 -2.047 0.523 W
-2.082 1.196 0.117 W
0.000 0.000 0.000 La
```


Material: LaW2Au
Method: DFT, PBE
State: optimized geometry

Structure (POSCAR):
```
LaW2Au
1.0
-1.049 5.286 -1.814
-3.214 -4.223 -2.040
-1.796 0.359 2.086
La W Au
1 2 1
Cartesian
-2.505 -1.932 0.023 La
-2.132 0.531 -1.927 W
0.000 0.000 0.000 W
-1.423 2.823 0.136 Au
```


Material: LaWAu3
Method: DFT, PBE
State: optimized geometry

Structure (POSCAR):
```
LaWAu3
1.0
5.302 0.000 0.000
0.000 5.302 0.000
0.000 0.000 5.302
La Au W
1 3 1
Cartesian
0.000 0.000 0.000 La
2.651 0.000 0.000 Au
0.000 2.651 0.000 Au
0.000 0.000 2.651 Au
2.651 2.651 2.651 W
```


Material: LaW2Au
Method: DFT, PBE
State: optimized geometry

Structure (POSCAR):
```
LaW2Au
1.0
3.553 0.000 0.000
0.000 3.553 0.000
0.000 0.000 6.906
Au W La
1 2 1
Cartesian
1.776 1.776 1.726 Au
0.000 0.000 2.924 W
0.000 0.000 0.529 W
1.776 1.776 5.179 La
```


Listing total energy for the structures above in their given order: -5.219 -7.890 -6.508 -7.707 -3.708 -7.810 eV/atom.
Listing energy above the most stable polymorph in this dataset for the structures above in their given order: 0 426 811 608 1511 505 meV per atom.